Material: Tl3Cd2CoF9
Method: DFT, PBE+U
State: relaxed

Cell and atoms, written as extended XYZ:
```
15
Lattice="-4.7939 -3.9237 -0.2792 4.6987 -1.1172 3.8896 -3.5480 3.9493 5.4204" Properties=species:S:1:pos:R:3 pbc="T T T"
F -3.0985 1.1700 4.0791
F -0.0476 -2.5205 1.8052
F -3.1485 -1.4788 5.9762
F -0.5448 -2.2617 4.9518
F -2.3970 -1.9618 -0.1396
F -0.4947 0.3871 3.0546
F 2.3494 -0.5586 1.9448
F 1.9742 -0.1999 5.0985
F -5.6175 -0.8917 3.9324
Co -1.7740 1.9746 2.7102
Tl -2.8077 -1.6769 2.9101
Tl 0.0000 0.0000 0.0000
Tl -0.8355 0.5853 6.1207
Cd 0.8985 -1.3448 3.4716
Cd -4.5417 0.2532 5.5592
```

## Properties
symmetry	No. 164
calculated density	7.02	g/cm3
total moment	3.00	μB/cell
uncorrected energy	-4.032	eV per atom